(P)
Here is an optimized crystal structure of FeReAg from Alexandria. Energies are from GGA-PBE.

extended XYZ file:
```
3
Lattice="7.1615 -0.0114 0.0083 6.4827 2.5729 -0.0175 0.6788 -0.8194 2.4510" Properties=species:S:1:pos:R:3 pbc="T T T"
Fe 4.8998 0.2813 1.6501
Re 9.4897 1.4782 0.7791
Ag 13.5777 2.5442 0.0034
```

Calculated values
Space-group type = Fmm2 (42)
Fermi-level density of states = 0.791 states/eV/atom

(Q)
Here is an optimized crystal structure of FeReAg from Alexandria. Energies are from GGA-PBE.

extended XYZ file:
```
3
Lattice="4.0956 0.0000 0.0000 2.0478 3.5469 0.0000 2.0478 1.1823 3.3441" Properties=species:S:1:pos:R:3 pbc="T T T"
Fe 6.1434 3.5469 2.5080
Re 0.0000 0.0000 0.0000
Ag 4.0956 2.3646 1.6720
```

Calculated values
Space-group type = F-43m (216)
Fermi-level density of states = 0.520 states/eV/atom

Which is the most stable structure? (P) is the most stable.

(P)
Here is an optimized crystal structure of FeReAg from Alexandria. Energies are from GGA-PBE.

extended XYZ file:
```
3
Lattice="2.7271 0.0000 0.0000 -1.3636 2.3618 0.0000 0.0000 0.0000 6.8239" Properties=species:S:1:pos:R:3 pbc="T T T"
Fe 0.0000 1.5745 2.4129
Ag 0.0000 0.0000 0.0758
Re 1.3636 0.7873 4.3352
```

Calculated values
Space-group type = P3m1 (156)
Fermi-level density of states = 0.891 states/eV/atom

(Q)
Here is an optimized crystal structure of FeReAg from Alexandria. Energies are from GGA-PBE.

extended XYZ file:
```
3
Lattice="6.0333 -0.0267 0.0000 4.7715 3.6925 0.0000 -5.4024 -1.8329 1.9637" Properties=species:S:1:pos:R:3 pbc="T T T"
Ag 10.7423 3.6445 0.0000
Re 7.4335 2.5219 0.0000
Fe 3.4340 1.1650 0.0000
```

Calculated values
Space-group type = I4mm (107)
Fermi-level density of states = 1.001 states/eV/atom

Which is the most stable structure? (P) is the most stable.